No. 1
# Cs2SiTeCl6, optimized geometry, DFT GGA-PBE
data_Cs2SiTeCl6
_chemical_formula_sum 'Cs4 Si2 Te2 Cl12'
_symmetry_space_group_name_H-M 'I 4/m m m'
_symmetry_Int_Tables_number 139
_symmetry_space_group_name_Hall '-I 4 2'
_cell_length_a 8.084
_cell_length_b 8.084
_cell_length_c 10.210
_cell_angle_alpha 90.00
_cell_angle_beta 90.00
_cell_angle_gamma 90.00
loop_
_atom_site_label
_atom_site_fract_x
_atom_site_fract_y
_atom_site_fract_z
_atom_site_occupancy
Cs1 0.000 0.500 0.250 1
Si1 0.000 0.000 0.000 1
Te1 0.000 0.000 0.500 1
Cl1 0.000 0.000 0.236 1
Cl2 0.195 0.195 0.000 1
# * raw formation energy: -1.1347 eV/atom
# * crystal system: tetragonal

***

No. 2
# Ga2CuBPt, optimized geometry, DFT GGA-PBE
data_Ga2CuBPt
_chemical_formula_sum 'Ga2 Cu1 B1 Pt1'
_symmetry_space_group_name_H-M 'P 4/m m m'
_symmetry_Int_Tables_number 123
_symmetry_space_group_name_Hall '-P 4 2'
_cell_length_a 4.723
_cell_length_b 4.723
_cell_length_c 4.870
_cell_angle_alpha 90.00
_cell_angle_beta 90.00
_cell_angle_gamma 90.00
loop_
_atom_site_label
_atom_site_fract_x
_atom_site_fract_y
_atom_site_fract_z
_atom_site_occupancy
Ga1 0.000 0.500 0.000 1
Cu1 0.000 0.000 0.500 1
B1 0.500 0.500 0.500 1
Pt1 0.000 0.000 0.000 1
# * formation energy from the elements: 0.91 eV per atom
# * crystal system: tetragonal

***

No. 3
# TaHgO2, optimized geometry, DFT GGA-PBE
data_TaHgO2
_chemical_formula_sum 'Ta4 Hg4 O8'
_symmetry_space_group_name_H-M 'I 41/a m d'
_symmetry_Int_Tables_number 141
_cell_length_a 6.017
_cell_length_b 6.017
_cell_length_c 9.469
_cell_angle_alpha 90.00
_cell_angle_beta 90.00
_cell_angle_gamma 90.00
loop_
_symmetry_equiv_pos_as_xyz
'x,y,z'
'-x,-y,-z'
'-y+1/4,x+3/4,z+1/4'
'y+1/4,-x+3/4,-z+1/4'
'-x+1/2,-y,z+1/2'
'x+1/2,y,-z+1/2'
'y+1/4,-x+1/4,z+3/4'
'-y+1/4,x+1/4,-z+3/4'
'x,-y,-z'
'-x,y,z'
'-y+1/4,-x+1/4,-z+3/4'
'y+1/4,x+1/4,z+3/4'
'-x+1/2,y,-z+1/2'
'x+1/2,-y,z+1/2'
'y+1/4,x+3/4,-z+1/4'
'-y+1/4,-x+3/4,z+1/4'
'x+1/2,y+1/2,z+1/2'
'-x+1/2,-y+1/2,-z+1/2'
'-y+3/4,x+1/4,z+3/4'
'y+3/4,-x+1/4,-z+3/4'
'-x,-y+1/2,z'
'x,y+1/2,-z'
'y+3/4,-x+3/4,z+1/4'
'-y+3/4,x+3/4,-z+1/4'
'x+1/2,-y+1/2,-z+1/2'
'-x+1/2,y+1/2,z+1/2'
'-y+3/4,-x+3/4,-z+1/4'
'y+3/4,x+3/4,z+1/4'
'-x,y+1/2,-z'
'x,-y+1/2,z'
'y+3/4,x+1/4,-z+3/4'
'-y+3/4,-x+1/4,z+3/4'
loop_
_atom_site_label
_atom_site_fract_x
_atom_site_fract_y
_atom_site_fract_z
_atom_site_occupancy
Ta1 0.000 0.250 0.375 1
Hg1 0.000 0.250 0.875 1
O1 0.000 0.000 0.500 1
# * raw formation energy: -1.6759 eV/atom
# * crystal system: tetragonal

***

No. 4
# SrMgRe2, optimized geometry, DFT GGA-PBE
data_SrMgRe2
_chemical_formula_sum 'Sr1 Mg1 Re2'
_symmetry_space_group_name_H-M 'P 4/m m m'
_symmetry_Int_Tables_number 123
_symmetry_space_group_name_Hall '-P 4 2'
_cell_length_a 2.747
_cell_length_b 2.747
_cell_length_c 9.858
_cell_angle_alpha 90.00
_cell_angle_beta 90.00
_cell_angle_gamma 90.00
loop_
_atom_site_label
_atom_site_fract_x
_atom_site_fract_y
_atom_site_fract_z
_atom_site_occupancy
Sr1 0.000 0.000 0.000 1
Mg1 0.000 0.000 0.500 1
Re1 0.500 0.500 0.276 1
# * formation energy from the elements: 0.86 eV per atom
# * crystal system: tetragonal

***

No. 5
# Er3Tm4Cd2, optimized geometry, DFT GGA-PBE
data_Er3Tm4Cd2
_chemical_formula_sum 'Er6 Tm8 Cd4'
_symmetry_space_group_name_H-M 'C 1 2/m 1'
_symmetry_Int_Tables_number 12
_cell_length_a 14.437
_cell_length_b 4.807
_cell_length_c 7.688
_cell_angle_alpha 90.00
_cell_angle_beta 108.53
_cell_angle_gamma 90.00
loop_
_symmetry_equiv_pos_as_xyz
'x,y,z'
'-x,-y,-z'
'-x,y,-z'
'x,-y,z'
'x+1/2,y+1/2,z'
'-x+1/2,-y+1/2,-z'
'-x+1/2,y+1/2,-z'
'x+1/2,-y+1/2,z'
loop_
_atom_site_label
_atom_site_fract_x
_atom_site_fract_y
_atom_site_fract_z
_atom_site_occupancy
Er1 0.000 0.000 0.000 1
Er2 0.114 0.000 0.671 1
Tm1 0.057 0.500 0.335 1
Tm2 0.221 0.000 0.323 1
Cd1 0.166 0.500 0.999 1
# * formation energy from the elements: -0.07 eV per atom
# * crystal system: monoclinic

***

No. 6
# ReTc7, optimized geometry, DFT GGA-PBE
data_ReTc7
_chemical_formula_sum 'Re4 Tc28'
_symmetry_space_group_name_H-M 'F m -3 m'
_symmetry_Int_Tables_number 225
_symmetry_space_group_name_Hall '-F 4 2 3'
_cell_length_a 7.778
_cell_length_b 7.778
_cell_length_c 7.778
_cell_angle_alpha 90.00
_cell_angle_beta 90.00
_cell_angle_gamma 90.00
loop_
_atom_site_label
_atom_site_fract_x
_atom_site_fract_y
_atom_site_fract_z
_atom_site_occupancy
Re1 0.000 0.000 0.000 1
Tc1 0.000 0.000 0.500 1
Tc2 0.000 0.250 0.250 1
# * formation energy from the elements: 0.08 eV per atom
# * crystal system: cubic

***

No. 7
# Pu3Ag4Hg4, optimized geometry, DFT GGA-PBE
data_Pu3Ag4Hg4
_chemical_formula_sum 'Pu6 Ag8 Hg8'
_symmetry_space_group_name_H-M 'A m m 2'
_symmetry_Int_Tables_number 38
_cell_length_a 9.573
_cell_length_b 5.146
_cell_length_c 10.627
_cell_angle_alpha 90.00
_cell_angle_beta 90.00
_cell_angle_gamma 90.00
loop_
_symmetry_equiv_pos_as_xyz
'x,y,z'
'-x,-y,z'
'-x,y,z'
'x,-y,z'
'x,y+1/2,z+1/2'
'-x,-y+1/2,z+1/2'
'-x,y+1/2,z+1/2'
'x,-y+1/2,z+1/2'
loop_
_atom_site_label
_atom_site_fract_x
_atom_site_fract_y
_atom_site_fract_z
_atom_site_occupancy
Pu1 0.000 0.000 0.000 1
Pu2 0.293 0.000 0.152 1
Ag1 0.000 0.000 0.674 1
Ag2 0.224 0.000 0.491 1
Ag3 0.500 0.000 0.653 1
Hg1 0.000 0.000 0.305 1
Hg2 0.279 0.000 0.840 1
Hg3 0.500 0.000 0.383 1
# * formation energy from the elements: 0.00 eV per atom
# * crystal system: orthorhombic

***

No. 8
# Ce2MgSb, optimized geometry, DFT GGA-PBE
data_Ce2MgSb
_chemical_formula_sum 'Ce6 Mg3 Sb3'
_symmetry_space_group_name_H-M 'R -3 m'
_symmetry_Int_Tables_number 166
_symmetry_space_group_name_Hall '-R 3 2"'
_cell_length_a 4.2185
_cell_length_b 4.2185
_cell_length_c 25.8150
_cell_angle_alpha 90.00
_cell_angle_beta 90.00
_cell_angle_gamma 120.00
loop_
_atom_site_label
_atom_site_fract_x
_atom_site_fract_y
_atom_site_fract_z
_atom_site_occupancy
Ce1 0.0000 0.0000 0.2415 1
Mg1 0.0000 0.0000 0.0000 1
Sb1 0.0000 0.0000 0.5000 1
# * raw formation energy: -0.2399 eV/atom
# * crystal system: trigonal